Here is a geometry-optimized BeP3 structure from Alexandria via LeMat-Bulk. Energies are from GGA-PBEsol.

Output
- crystal system = tetragonal
- energy of formation from the pure elements (eV/f.u.) = 1.85
- DOS(E_F) (states/eV/cell) = 1.62
- total DFT energy (no corrections) (eV for the cell shown) = -19.5
- polymorph energy (0 for the lowest one) (meV per atom) = 335.9

a b c (Å): 3.1449 3.1449 5.1362
angles (deg): 90.00 90.00 90.00
Fractional positions:
Be1 0.0000 0.0000 0.0000
P1 0.0000 0.0000 0.5000
P2 0.5000 0.5000 0.2152
P3 0.5000 0.5000 0.7848

---

Here is a geometry-optimized Cd5Cu3 structure from Alexandria via LeMat-Bulk. Energies are from GGA-PBEsol.

Output
- crystal system = orthorhombic
- energy of formation from the pure elements (eV/f.u.) = 0.61
- DOS(E_F) (states/eV/cell) = 2.27
- total DFT energy (no corrections) (eV for the cell shown) = -18.4
- polymorph energy (0 for the lowest one) (meV per atom) = 31.2

a b c (Å): 5.6168 5.6168 4.3083
angles (deg): 90.00 90.00 102.18
Fractional positions:
Cd1 0.0000 0.0000 0.0000
Cd2 0.0000 0.5000 0.0000
Cd3 0.2793 0.2793 0.5000
Cd4 0.5000 0.0000 0.0000
Cd5 0.7207 0.7207 0.5000
Cu1 0.2354 0.7646 0.5000
Cu2 0.5000 0.5000 0.0000
Cu3 0.7646 0.2354 0.5000

---

Here is a geometry-optimized CsSe2 structure from Alexandria via LeMat-Bulk. Energies are from GGA-PBEsol.

Output
- crystal system = monoclinic
- E_form (uncorrected) (kJ/mol of formula units) = -208
- DOS(E_F) (states/eV/cell) = 0.55
- total DFT energy (no corrections) (eV for the cell shown) = -21.6

a b c (Å): 5.0051 5.0051 8.7854
angles (deg): 103.35 103.35 89.91
Fractional positions:
Cs1 0.0894 0.9106 0.7500
Cs2 0.9106 0.0894 0.2500
Se1 0.3560 0.5112 0.0955
Se2 0.4888 0.6440 0.4045
Se3 0.5112 0.3560 0.5955
Se4 0.6440 0.4888 0.9045

---

Here is a geometry-optimized Sc2MnRe structure from Alexandria via LeMat-Bulk. Energies are from GGA-PBEsol.

Output
- crystal system = cubic
- energy of formation from the pure elements (eV/f.u.) = 0.66
- DOS(E_F) (states/eV/cell) = 5.17
- total DFT energy (no corrections) (eV for the cell shown) = -35.6

a b c (Å): 4.4407 4.4407 4.4407
angles (deg): 60.00 60.00 60.00
Fractional positions:
Sc1 0.0000 0.0000 0.0000
Sc2 0.2500 0.2500 0.2500
Mn1 0.5000 0.5000 0.5000
Re1 0.7500 0.7500 0.7500

---

Here is a geometry-optimized Tl2HgCl structure from Alexandria via LeMat-Bulk. Energies are from GGA-PBEsol.

Output
- crystal system = cubic
- E_form (uncorrected) (kJ/mol of formula units) = -122
- DOS(E_F) (states/eV/cell) = 2.55
- total DFT energy (no corrections) (eV for the cell shown) = -9.1
- polymorph energy (0 for the lowest one) (meV per atom) = 76.9

a b c (Å): 5.3108 5.3108 5.3108
angles (deg): 60.00 60.00 60.00
Fractional positions:
Tl1 0.2500 0.2500 0.2500
Tl2 0.7500 0.7500 0.7500
Hg1 0.0000 0.0000 0.0000
Cl1 0.5000 0.5000 0.5000

---

Here is a geometry-optimized MgTc structure from Alexandria via LeMat-Bulk. Energies are from GGA-PBEsol.

Output
- crystal system = monoclinic
- energy of formation from the pure elements (eV/f.u.) = 0.54
- DOS(E_F) (states/eV/cell) = 2.42
- total DFT energy (no corrections) (eV for the cell shown) = -24.9
- polymorph energy (0 for the lowest one) (meV per atom) = 256.6

a b c (Å): 4.5822 4.5822 5.2363
angles (deg): 94.08 94.08 35.34
Fractional positions:
Mg1 0.1222 0.1222 0.3749
Mg2 0.8778 0.8778 0.6251
Tc1 0.3768 0.3768 0.0931
Tc2 0.6232 0.6232 0.9069

---

Here is a geometry-optimized MgInPb2 structure from Alexandria via LeMat-Bulk. Energies are from GGA-PBEsol.

Output
- crystal system = orthorhombic
- energy of formation from the pure elements (eV/f.u.) = 0.05
- DOS(E_F) (states/eV/cell) = 1.69
- total DFT energy (no corrections) (eV for the cell shown) = -12.6

a b c (Å): 3.3740 3.3740 10.6843
angles (deg): 90.00 90.00 116.64
Fractional positions:
Mg1 0.0000 0.0000 0.0000
In1 0.0000 0.0000 0.5000
Pb1 0.5000 0.5000 0.2387
Pb2 0.5000 0.5000 0.7613

---

Here is a geometry-optimized ZrTa3Mn structure from Alexandria via LeMat-Bulk. Energies are from GGA-PBEsol.

Output
- crystal system = cubic
- energy of formation from the pure elements (eV/f.u.) = 10.67
- DOS(E_F) (states/eV/cell) = 7.05
- total DFT energy (no corrections) (eV for the cell shown) = -45.8

a b c (Å): 4.8120 4.8120 4.8120
angles (deg): 90.00 90.00 90.00
Fractional positions:
Zr1 0.0000 0.0000 0.0000
Ta1 0.0000 0.0000 0.5000
Ta2 0.0000 0.5000 0.0000
Ta3 0.5000 0.0000 0.0000
Mn1 0.5000 0.5000 0.5000

---

Here is a geometry-optimized UCoC2 structure from Alexandria via LeMat-Bulk. Energies are from GGA-PBEsol.

Output
- crystal system = tetragonal
- energy of formation from the pure elements (eV/f.u.) = -0.90
- DOS(E_F) (states/eV/cell) = 7.92
- total DFT energy (no corrections) (eV for the cell shown) = -80.2

a b c (Å): 3.4339 3.4339 7.2148
angles (deg): 90.00 90.00 90.00
Fractional positions:
U1 0.2500 0.2500 0.1816
U2 0.7500 0.7500 0.8184
Co1 0.2500 0.7500 0.5000
Co2 0.7500 0.2500 0.5000
C1 0.2500 0.2500 0.6560
C2 0.2500 0.2500 0.8605
C3 0.7500 0.7500 0.1395
C4 0.7500 0.7500 0.3440

---

Here is a geometry-optimized Lu2B4O9 structure from Alexandria via LeMat-Bulk. Energies are from GGA-PBEsol.

Output
- crystal system = triclinic
- E_form (uncorrected) (kJ/mol of formula units) = -4255
- DOS(E_F) (states/eV/cell) = 0.00
- total DFT energy (no corrections) (eV for the cell shown) = -258.3

a b c (Å): 6.0261 6.2641 7.3763
angles (deg): 103.09 97.52 102.25
Fractional positions:
Lu1 0.0521 0.0896 0.2912
Lu2 0.3868 0.6738 0.3587
Lu3 0.6132 0.3262 0.6413
Lu4 0.9479 0.9104 0.7088
B1 0.1254 0.3577 0.6485
B2 0.1599 0.6892 0.9294
B3 0.2370 0.3338 0.9801
B4 0.4965 0.1401 0.1927
B5 0.5035 0.8599 0.8073
B6 0.7630 0.6662 0.0199
B7 0.8401 0.3108 0.0706
B8 0.8746 0.6423 0.3515
O1 0.0027 0.7974 0.0283
O2 0.0319 0.5402 0.7477
O3 0.0855 0.8211 0.4507
O4 0.2694 0.2634 0.7842
O5 0.2790 0.5780 0.0440
O6 0.2827 0.4076 0.5194
O7 0.3072 0.8793 0.8776
O8 0.3657 0.2866 0.1484
O9 0.4272 0.0379 0.3280
O10 0.5728 0.9621 0.6720
O11 0.6343 0.7134 0.8516
O12 0.6928 0.1207 0.1224
O13 0.7173 0.5924 0.4806
O14 0.7210 0.4220 0.9560
O15 0.7306 0.7366 0.2158
O16 0.9145 0.1789 0.5493
O17 0.9681 0.4598 0.2523
O18 0.9973 0.2026 0.9717

---

Here is a geometry-optimized AgMo2As structure from Alexandria via LeMat-Bulk. Energies are from GGA-PBEsol.

Output
- crystal system = tetragonal
- energy of formation from the pure elements (eV/f.u.) = 1.66
- DOS(E_F) (states/eV/cell) = 3.53
- total DFT energy (no corrections) (eV for the cell shown) = -30.3

a b c (Å): 4.8446 4.8446 4.8446
angles (deg): 132.08 132.08 70.11
Fractional positions:
Ag1 0.0000 0.0000 0.0000
Mo1 0.2500 0.7500 0.5000
Mo2 0.5000 0.5000 0.0000
As1 0.7500 0.2500 0.5000

---

Here is a geometry-optimized TcSbAuI2 structure from Alexandria via LeMat-Bulk. Energies are from GGA-PBEsol.

Output
- crystal system = tetragonal
- E_form (uncorrected) (kJ/mol of formula units) = 383
- DOS(E_F) (states/eV/cell) = 5.65
- total DFT energy (no corrections) (eV for the cell shown) = -19.3

a b c (Å): 5.2926 5.2926 5.0867
angles (deg): 90.00 90.00 90.00
Fractional positions:
Tc1 0.0000 0.0000 0.0000
Sb1 0.0000 0.0000 0.5000
Au1 0.5000 0.5000 0.5000
I1 0.0000 0.5000 0.0000
I2 0.5000 0.0000 0.0000